No. 1
A plane-wave DFT calculation with PBE was carried out for Y2Cu2As after structural relaxation.

Formation energy from the elements (eV/atom): -0.504

Cell and atoms, written as CIF:
```
data_Y2Cu2As
_chemical_formula_sum 'Y4 Cu4 As2'
_cell_length_a 7.0952
_cell_length_b 7.0952
_cell_length_c 3.9945
_cell_angle_alpha 90.00
_cell_angle_beta 90.00
_cell_angle_gamma 90.00
_symmetry_space_group_name_H-M 'P 4/m b m'
_symmetry_Int_Tables_number 127
_symmetry_space_group_name_Hall '-P 4 2ab'
loop_
_atom_site_label
_atom_site_type_symbol
_atom_site_fract_x
_atom_site_fract_y
_atom_site_fract_z
_atom_site_occupancy
Y1 Y 0.1753 0.3247 0.0000 1
Cu1 Cu 0.1214 0.6214 0.5000 1
As1 As 0.0000 0.0000 0.5000 1
```


No. 2
A plane-wave DFT calculation with PBE was carried out for PaGeAsN after structural relaxation.

Formation energy from raw total energies (meV/atom): -887

Cell and atoms, written as CIF:
```
data_PaGeAsN
_chemical_formula_sum 'Pa2 Ge2 As2 N2'
_cell_length_a 3.8641
_cell_length_b 3.8641
_cell_length_c 10.1348
_cell_angle_alpha 90.00
_cell_angle_beta 90.00
_cell_angle_gamma 90.00
_symmetry_space_group_name_H-M 'P 4/n m m'
_symmetry_Int_Tables_number 129
loop_
_symmetry_equiv_pos_as_xyz
'x,y,z'
'-x,-y,-z'
'-y+1/2,x,z'
'y+1/2,-x,-z'
'-x+1/2,-y+1/2,z'
'x+1/2,y+1/2,-z'
'y,-x+1/2,z'
'-y,x+1/2,-z'
'x+1/2,-y,-z'
'-x+1/2,y,z'
'-y,-x,-z'
'y,x,z'
'-x,y+1/2,-z'
'x,-y+1/2,z'
'y+1/2,x+1/2,-z'
'-y+1/2,-x+1/2,z'
loop_
_atom_site_label
_atom_site_type_symbol
_atom_site_fract_x
_atom_site_fract_y
_atom_site_fract_z
_atom_site_occupancy
Pa1 Pa 0.2500 0.2500 0.1200 1
Ge1 Ge 0.2500 0.7500 0.5000 1
As1 As 0.2500 0.2500 0.7336 1
N1 N 0.2500 0.7500 0.0000 1
```


No. 3
A plane-wave DFT calculation with PBE was carried out for ScTa2W after structural relaxation.

Formation energy from the elements (eV/atom): 0.130

Cell and atoms, written as CIF:
```
data_ScTa2W
_chemical_formula_sum 'Sc1 Ta2 W1'
_cell_length_a 2.8685
_cell_length_b 4.6518
_cell_length_c 5.6199
_cell_angle_alpha 90.00
_cell_angle_beta 100.59
_cell_angle_gamma 90.00
_symmetry_space_group_name_H-M 'P 1 2/m 1'
_symmetry_Int_Tables_number 10
loop_
_symmetry_equiv_pos_as_xyz
'x,y,z'
'-x,-y,-z'
'-x,y,-z'
'x,-y,z'
loop_
_atom_site_label
_atom_site_type_symbol
_atom_site_fract_x
_atom_site_fract_y
_atom_site_fract_z
_atom_site_occupancy
Sc1 Sc 0.0000 0.0000 0.0000 1
Ta1 Ta 0.2915 0.5000 0.7343 1
W1 W 0.5000 0.0000 0.5000 1
```


No. 4
A plane-wave DFT calculation with PBE was carried out for GaCoGe2S after structural relaxation.

Formation energy from raw total energies (meV/atom): 1023

Cell and atoms, written as CIF:
```
data_GaCoGe2S
_chemical_formula_sum 'Ga1 Co1 Ge2 S1'
_cell_length_a 4.8694
_cell_length_b 4.8694
_cell_length_c 4.7472
_cell_angle_alpha 90.00
_cell_angle_beta 90.00
_cell_angle_gamma 90.00
_symmetry_space_group_name_H-M 'P 4/m m m'
_symmetry_Int_Tables_number 123
_symmetry_space_group_name_Hall '-P 4 2'
loop_
_atom_site_label
_atom_site_type_symbol
_atom_site_fract_x
_atom_site_fract_y
_atom_site_fract_z
_atom_site_occupancy
Ga1 Ga 0.0000 0.0000 0.0000 1
Co1 Co 0.5000 0.5000 0.5000 1
Ge1 Ge 0.0000 0.5000 0.0000 1
S1 S 0.0000 0.0000 0.5000 1
```


No. 5
A plane-wave DFT calculation with PBE was carried out for HgIr2O8 after structural relaxation.

Formation energy from raw total energies (meV/atom): -329

Cell and atoms, written as CIF:
```
data_HgIr2O8
_chemical_formula_sum 'Hg2 Ir4 O16'
_cell_length_a 10.0619
_cell_length_b 6.1890
_cell_length_c 6.7767
_cell_angle_alpha 90.00
_cell_angle_beta 115.38
_cell_angle_gamma 90.00
_symmetry_space_group_name_H-M 'C 1 2/m 1'
_symmetry_Int_Tables_number 12
loop_
_symmetry_equiv_pos_as_xyz
'x,y,z'
'-x,-y,-z'
'-x,y,-z'
'x,-y,z'
'x+1/2,y+1/2,z'
'-x+1/2,-y+1/2,-z'
'-x+1/2,y+1/2,-z'
'x+1/2,-y+1/2,z'
loop_
_atom_site_label
_atom_site_type_symbol
_atom_site_fract_x
_atom_site_fract_y
_atom_site_fract_z
_atom_site_occupancy
Hg1 Hg 0.0000 0.0000 0.0000 1
Ir1 Ir 0.2481 0.0000 0.5254 1
O1 O 0.1136 0.2741 0.4054 1
O2 O 0.1949 0.0000 0.7377 1
O3 O 0.2136 0.0000 0.2241 1
```


No. 6
A plane-wave DFT calculation with PBE was carried out for VInCo2Pd after structural relaxation.

Formation energy from the elements (eV/atom): 0.958

Cell and atoms, written as CIF:
```
data_VInCo2Pd
_chemical_formula_sum 'V1 In1 Co2 Pd1'
_cell_length_a 4.1469
_cell_length_b 4.1469
_cell_length_c 5.0776
_cell_angle_alpha 90.00
_cell_angle_beta 90.00
_cell_angle_gamma 90.00
_symmetry_space_group_name_H-M 'P 4/m m m'
_symmetry_Int_Tables_number 123
_symmetry_space_group_name_Hall '-P 4 2'
loop_
_atom_site_label
_atom_site_type_symbol
_atom_site_fract_x
_atom_site_fract_y
_atom_site_fract_z
_atom_site_occupancy
V1 V 0.0000 0.0000 0.0000 1
In1 In 0.0000 0.0000 0.5000 1
Co1 Co 0.0000 0.5000 0.0000 1
Pd1 Pd 0.5000 0.5000 0.5000 1
```


For reference, calculated density by record: 6.27; 8.62; 13.31; 4.51; 6.21; 7.42 g/cm3.
For reference, total moment by record: 0.00; 0.00; 0.00; 1.95; 0.00; 0.93 μB per cell.